Entry 1:
Compound: Tb8Ga2Ru
Source: Alexandria
Functional: PBE
Structure: relaxed

Summary:
- Calculated density: 8.6 g/cm³
- Volume: 293.36 Å³ per cell
- N(E_F): 9.7 states/eV/cell
- Relative energy among the computed polymorphs: 0.00 eV/f.u.
- Symmetry: C2/m, No. 12
- Formation enthalpy at 0 K: -295 meV/atom

a b c (Å): 9.215 9.215 6.709
angles (deg): 102.12 102.12 31.84
Atoms (fractional coordinates):
Tb  0.024  0.024  0.280
Tb  0.203  0.203  0.804
Tb  0.346  0.346  0.541
Tb  0.410  0.410  0.059
Tb  0.590  0.590  0.941
Tb  0.654  0.654  0.459
Tb  0.797  0.797  0.196
Tb  0.976  0.976  0.720
Ga  0.192  0.192  0.239
Ga  0.808  0.808  0.761
Ru  0.500  0.500  0.500

Entry 2:
Compound: Tb4Ga2Ru
Source: Alexandria
Functional: PBE
Structure: relaxed

Summary:
- Calculated density: 8.5 g/cm³
- Volume: 343.16 Å³ per cell
- N(E_F): 10.5 states/eV/cell
- Symmetry: C2/m, No. 12
- Formation enthalpy at 0 K: -468 meV/atom

a b c (Å): 10.937 4.677 8.527
angles (deg): 90.00 128.12 90.00
Atoms (fractional coordinates):
Tb  0.080  0.000  0.374
Tb  0.172  0.500  0.053
Tb  0.328  0.000  0.947
Tb  0.420  0.500  0.626
Tb  0.580  0.500  0.374
Tb  0.672  0.000  0.053
Tb  0.828  0.500  0.947
Tb  0.920  0.000  0.626
Ga  0.157  0.500  0.675
Ga  0.343  0.000  0.325
Ga  0.657  0.000  0.675
Ga  0.843  0.500  0.325
Ru  0.000  0.000  0.000
Ru  0.500  0.500  0.000

Entry 3:
Compound: Tb2UGa2Ru5
Source: Alexandria
Functional: PBE
Structure: relaxed

Summary:
- Calculated density: 11.3 g/cm³
- Volume: 352.15 Å³ per cell
- N(E_F): 12.4 states/eV/cell
- Symmetry: P4/mbm, No. 127
- Formation enthalpy at 0 K: -465 meV/atom

a b c (Å): 10.079 10.079 3.466
angles (deg): 90.00 90.00 90.00
Atoms (fractional coordinates):
Tb  0.168  0.332  0.000
Tb  0.332  0.832  0.000
Tb  0.668  0.168  0.000
Tb  0.832  0.668  0.000
U  0.000  0.000  0.000
U  0.500  0.500  0.000
Ga  0.128  0.628  0.000
Ga  0.372  0.128  0.000
Ga  0.628  0.872  0.000
Ga  0.872  0.372  0.000
Ru  0.000  0.500  0.500
Ru  0.068  0.802  0.500
Ru  0.198  0.068  0.500
Ru  0.302  0.568  0.500
Ru  0.432  0.302  0.500
Ru  0.500  0.000  0.500
Ru  0.568  0.698  0.500
Ru  0.698  0.432  0.500
Ru  0.802  0.932  0.500
Ru  0.932  0.198  0.500

Entry 4:
Compound: Tb2V2GaRu5
Source: Alexandria
Functional: PBE
Structure: relaxed

Summary:
- Calculated density: 9.8 g/cm³
- Volume: 335.78 Å³ per cell
- N(E_F): 13.3 states/eV/cell
- Symmetry: P4/mbm, No. 127
- Formation enthalpy at 0 K: -216 meV/atom

a b c (Å): 10.260 10.260 3.190
angles (deg): 90.00 90.00 90.00
Atoms (fractional coordinates):
Tb  0.173  0.327  0.000
Tb  0.327  0.827  0.000
Tb  0.673  0.173  0.000
Tb  0.827  0.673  0.000
V  0.129  0.629  0.000
V  0.371  0.129  0.000
V  0.629  0.871  0.000
V  0.871  0.371  0.000
Ga  0.000  0.000  0.000
Ga  0.500  0.500  0.000
Ru  0.000  0.500  0.500
Ru  0.065  0.799  0.500
Ru  0.201  0.065  0.500
Ru  0.299  0.565  0.500
Ru  0.435  0.299  0.500
Ru  0.500  0.000  0.500
Ru  0.565  0.701  0.500
Ru  0.701  0.435  0.500
Ru  0.799  0.935  0.500
Ru  0.935  0.201  0.500

Entry 5:
Compound: Tb2VGa2Ru5
Source: Alexandria
Functional: PBE
Structure: relaxed

Summary:
- Calculated density: 10.1 g/cm³
- Volume: 332.62 Å³ per cell
- N(E_F): 17.9 states/eV/cell
- Symmetry: P4/mbm, No. 127
- Formation enthalpy at 0 K: -316 meV/atom

a b c (Å): 10.070 10.070 3.280
angles (deg): 90.00 90.00 90.00
Atoms (fractional coordinates):
Tb  0.170  0.330  0.000
Tb  0.330  0.830  0.000
Tb  0.670  0.170  0.000
Tb  0.830  0.670  0.000
V  0.000  0.000  0.000
V  0.500  0.500  0.000
Ga  0.130  0.630  0.000
Ga  0.370  0.130  0.000
Ga  0.630  0.870  0.000
Ga  0.870  0.370  0.000
Ru  0.000  0.500  0.500
Ru  0.063  0.808  0.500
Ru  0.192  0.063  0.500
Ru  0.308  0.563  0.500
Ru  0.437  0.308  0.500
Ru  0.500  0.000  0.500
Ru  0.563  0.692  0.500
Ru  0.692  0.437  0.500
Ru  0.808  0.937  0.500
Ru  0.937  0.192  0.500

Entry 6:
Compound: TbZnGa2Ru2
Source: Alexandria
Functional: PBE
Structure: relaxed

Summary:
- Calculated density: 8.3 g/cm³
- Volume: 113.87 Å³ per cell
- N(E_F): 3.0 states/eV/cell
- Symmetry: P4/mmm, No. 123
- Formation enthalpy at 0 K: -56 meV/atom

a b c (Å): 4.589 4.589 5.407
angles (deg): 90.00 90.00 90.00
Atoms (fractional coordinates):
Tb  0.000  0.000  0.000
Zn  0.000  0.000  0.500
Ga  0.500  0.500  0.247
Ga  0.500  0.500  0.753
Ru  0.000  0.500  0.500
Ru  0.500  0.000  0.500

Entry 7:
Compound: TbZnGaRu
Source: Alexandria
Functional: PBE
Structure: relaxed

Summary:
- Calculated density: 9.4 g/cm³
- Volume: 279.53 Å³ per cell
- N(E_F): 16.7 states/eV/cell
- Relative energy among the computed polymorphs: 0.24 eV/f.u.
- Symmetry: F-43m, No. 216
- Formation enthalpy at 0 K: -273 meV/atom

a b c (Å): 6.538 6.538 6.538
angles (deg): 90.00 90.00 90.00
Atoms (fractional coordinates):
Tb  0.000  0.000  0.000
Tb  0.000  0.500  0.500
Tb  0.500  0.000  0.500
Tb  0.500  0.500  0.000
Zn  0.250  0.250  0.250
Zn  0.250  0.750  0.750
Zn  0.750  0.250  0.750
Zn  0.750  0.750  0.250
Ga  0.250  0.250  0.750
Ga  0.250  0.750  0.250
Ga  0.750  0.250  0.250
Ga  0.750  0.750  0.750
Ru  0.000  0.000  0.500
Ru  0.000  0.500  0.000
Ru  0.500  0.000  0.000
Ru  0.500  0.500  0.500

Entry 8:
Compound: Tb2ZnGa4Ru3
Source: Alexandria
Functional: PBE
Structure: relaxed

Summary:
- Calculated density: 8.8 g/cm³
- Volume: 181.35 Å³ per cell
- N(E_F): 6.2 states/eV/cell
- Symmetry: P-4m2, No. 115
- Formation enthalpy at 0 K: -412 meV/atom

a b c (Å): 3.988 3.988 11.402
angles (deg): 90.00 90.00 90.00
Atoms (fractional coordinates):
Tb  0.000  0.500  0.234
Tb  0.500  0.000  0.766
Zn  0.000  0.000  0.500
Ga  0.000  0.000  0.000
Ga  0.000  0.500  0.640
Ga  0.500  0.000  0.360
Ga  0.500  0.500  0.000
Ru  0.000  0.500  0.860
Ru  0.500  0.000  0.140
Ru  0.500  0.500  0.500